<one>
Computed, not measured: a geometry-optimized HgPt15 structure at the PBE level of DFT.

Geometry as extended XYZ:
```
32
Lattice="4.785 0.000 0.000 0.000 35.053 0.000 -1.571 0.000 4.520" Properties=species:S:1:pos:R:3 pbc="T T T"
Hg -0.393 6.380 1.130
Hg -1.178 28.674 3.390
Pt -1.178 8.137 3.390
Pt -0.393 9.609 1.130
Pt -1.178 11.060 3.390
Pt -0.393 12.511 1.130
Pt -1.178 13.942 3.390
Pt -0.393 15.378 1.130
Pt -1.178 16.817 3.390
Pt -0.393 18.236 1.130
Pt -1.178 19.675 3.390
Pt -0.393 21.111 1.130
Pt -1.178 22.542 3.390
Pt -0.393 23.993 1.130
Pt -1.178 25.444 3.390
Pt -0.393 26.916 1.130
Pt 1.214 6.860 3.390
Pt 2.000 8.136 1.130
Pt 1.214 9.633 3.390
Pt 2.000 11.062 1.130
Pt 1.214 12.507 3.390
Pt 2.000 13.941 1.130
Pt 1.214 15.373 3.390
Pt 2.000 16.808 1.130
Pt 1.214 18.245 3.390
Pt 2.000 19.680 1.130
Pt 1.214 21.112 3.390
Pt 2.000 22.546 1.130
Pt 1.214 23.991 3.390
Pt 2.000 25.420 1.130
Pt 1.214 26.917 3.390
Pt 2.000 28.193 1.130
```

## Properties
Symmetry: No. 13



<two>
Computed, not measured: a geometry-optimized HgPt15 structure at the PBE level of DFT.

Geometry as extended XYZ:
```
32
Lattice="7.836 0.000 0.000 0.000 2.780 0.000 -0.003 0.000 34.979" Properties=species:S:1:pos:R:3 pbc="T T T"
Hg 0.977 0.695 11.108
Hg 6.856 2.085 23.871
Pt 0.925 0.695 25.662
Pt 0.932 0.695 28.578
Pt 0.958 0.695 31.433
Pt 0.974 0.695 7.907
Pt 0.982 0.695 4.958
Pt 0.983 0.695 34.249
Pt 0.991 0.695 2.090
Pt 2.876 2.085 9.324
Pt 2.884 2.085 6.414
Pt 2.917 2.085 3.553
Pt 2.938 2.085 24.521
Pt 2.940 2.085 27.247
Pt 2.944 2.085 0.688
Pt 2.943 2.085 29.993
Pt 2.949 2.085 32.809
Pt 4.885 0.695 2.170
Pt 4.890 0.695 4.986
Pt 4.889 0.695 34.290
Pt 4.894 0.695 7.732
Pt 4.895 0.695 10.458
Pt 4.916 0.695 31.426
Pt 4.949 0.695 28.565
Pt 4.957 0.695 25.655
Pt 6.842 2.085 32.888
Pt 6.850 2.085 0.729
Pt 6.851 2.085 30.021
Pt 6.860 2.085 27.071
Pt 6.876 2.085 3.546
Pt 6.901 2.085 6.401
Pt 6.908 2.085 9.317
```

## Properties
Symmetry: No. 11



According to the calculations, the structures order from most to least stable as <one>, <two>.



<one>
Computed, not measured: a geometry-optimized RbHgPt structure at the PBE level of DFT.

Geometry as extended XYZ:
```
3
Lattice="0.000 3.572 3.572 3.572 0.000 3.572 3.572 3.572 0.000" Properties=species:S:1:pos:R:3 pbc="T T T"
Rb 0.000 0.000 0.000
Hg 3.572 3.572 3.572
Pt 5.358 5.358 5.358
```

## Properties
Symmetry: No. 216



<two>
Computed, not measured: a geometry-optimized RbHgPt structure at the PBE level of DFT.

Geometry as extended XYZ:
```
3
Lattice="0.000 3.836 3.836 3.836 0.000 3.836 3.836 3.836 0.000" Properties=species:S:1:pos:R:3 pbc="T T T"
Rb 0.000 0.000 0.000
Hg 5.754 5.754 5.754
Pt 1.918 1.918 1.918
```

## Properties
Symmetry: No. 216



According to the calculations, the structures order from most to least stable as <one>, <two>.



<one>
Computed, not measured: a geometry-optimized RbPuHg structure at the PBE level of DFT.

Geometry as extended XYZ:
```
3
Lattice="0.000 4.008 4.008 4.008 0.000 4.008 4.008 4.008 0.000" Properties=species:S:1:pos:R:3 pbc="T T T"
Rb 0.000 0.000 0.000
Pu 4.008 4.008 4.008
Hg 6.012 6.012 6.012
```

## Properties
Symmetry: No. 216



<two>
Computed, not measured: a geometry-optimized RbPuHg structure at the PBE level of DFT.

Geometry as extended XYZ:
```
3
Lattice="0.000 4.108 4.108 4.108 0.000 4.108 4.108 4.108 0.000" Properties=species:S:1:pos:R:3 pbc="T T T"
Rb 0.000 0.000 0.000
Pu 2.054 2.054 2.054
Hg 6.162 6.162 6.162
```

## Properties
Symmetry: No. 216



According to the calculations, the structures order from most to least stable as <one>, <two>.



<one>
Computed, not measured: a geometry-optimized PuSiHg structure at the PBE level of DFT.

Geometry as extended XYZ:
```
3
Lattice="0.000 3.315 3.315 3.315 0.000 3.315 3.315 3.315 0.000" Properties=species:S:1:pos:R:3 pbc="T T T"
Pu 0.000 0.000 0.000
Si 4.973 4.973 4.973
Hg 3.315 3.315 3.315
```

## Properties
Symmetry: No. 216



<two>
Computed, not measured: a geometry-optimized PuSiHg structure at the PBE level of DFT.

Geometry as extended XYZ:
```
3
Lattice="0.000 3.439 3.439 3.439 0.000 3.439 3.439 3.439 0.000" Properties=species:S:1:pos:R:3 pbc="T T T"
Pu 0.000 0.000 0.000
Si 1.720 1.720 1.720
Hg 5.159 5.159 5.159
```

## Properties
Symmetry: No. 216



According to the calculations, the structures order from most to least stable as <one>, <two>.



<one>
Computed, not measured: a geometry-optimized PuSnHg structure at the PBE level of DFT.

Geometry as extended XYZ:
```
3
Lattice="0.000 3.529 3.529 3.529 0.000 3.529 3.529 3.529 0.000" Properties=species:S:1:pos:R:3 pbc="T T T"
Pu 0.000 0.000 0.000
Sn 3.529 3.529 3.529
Hg 1.764 1.764 1.764
```

## Properties
Symmetry: No. 216



<two>
Computed, not measured: a geometry-optimized PuSnHg structure at the PBE level of DFT.

Geometry as extended XYZ:
```
3
Lattice="0.000 3.605 3.605 3.605 0.000 3.605 3.605 3.605 0.000" Properties=species:S:1:pos:R:3 pbc="T T T"
Pu 0.000 0.000 0.000
Sn 1.802 1.802 1.802
Hg 5.407 5.407 5.407
```

## Properties
Symmetry: No. 216



According to the calculations, the structures order from most to least stable as <one>, <two>.